(1)
Nd7Hg3N2 after structural relaxation. Source: Alexandria via LeMat-Bulk, functional PBE.

```
12
Lattice="-1.545 -3.528 3.184 3.942 0.974 2.992 -8.553 7.789 4.481" Properties=species:S:1:pos:R:3 pbc="T T T"
Hg -4.732 3.214 5.187
Nd 0.000 0.000 0.000
Nd -2.108 -0.085 2.805
Nd -5.263 6.617 4.779
N -1.373 1.726 1.247
Nd -4.048 5.319 7.852
N -3.238 7.037 6.226
Nd -1.934 5.397 5.042
Nd -2.677 3.366 2.431
Nd 0.652 2.146 2.694
Hg 1.199 -1.277 3.088
Hg -1.424 2.021 5.470
```

Properties
* formation energy without anion corrections: -0.70 eV/atom
* space-group type: Cmmm
* magnetic moment: 0.000 μB per formula unit
* raw total energy: -59.4 eV for the cell shown

=====

(2)
DyY3Sn2 after structural relaxation. Source: Alexandria via LeMat-Bulk, functional PBE.

```
12
Lattice="7.315 0.000 0.000 0.000 7.544 0.000 -3.658 -3.772 7.217" Properties=species:S:1:pos:R:3 pbc="T T T"
Sn 1.359 0.000 5.172
Y 0.000 1.886 3.074
Sn 5.016 0.000 2.045
Dy 0.000 0.000 0.000
Dy 0.000 3.772 0.000
Y 3.658 -1.886 4.143
Sn -1.359 3.772 5.172
Y 3.658 1.886 4.143
Y 0.000 5.658 3.074
Y 3.658 1.886 0.000
Sn 2.299 3.772 2.045
Y 3.658 5.658 0.000
```

Properties
* space-group type: Ibam
* ΔE_f: -343.4 meV/atom
* magnetic moment: 0.000 μB per formula unit
* raw total energy: -68.1 eV for the cell shown

=====

(3)
Sc4InCu3 after structural relaxation. Source: Alexandria via LeMat-Bulk, functional PBE.

```
8
Lattice="4.536 0.000 1.339 2.071 4.036 1.339 0.047 0.029 8.193" Properties=species:S:1:pos:R:3 pbc="T T T"
Sc 5.757 3.517 5.555
Sc 4.084 2.495 2.872
Cu 1.690 1.033 2.627
Sc 0.897 0.548 5.316
In 0.000 0.000 0.000
Cu 4.964 3.032 8.245
Cu 3.327 2.032 5.436
Sc 2.570 1.570 8.000
```

Properties
* space-group type: R-3m
* ΔE_f: -295.3 meV/atom
* magnetic moment: 0.000 μB per formula unit
* raw total energy: -42.7 eV for the cell shown

=====

(4)
MgAl2Cd after structural relaxation. Source: Alexandria via LeMat-Bulk, functional PBE.

```
4
Lattice="4.772 0.000 0.000 0.000 3.049 -0.014 0.000 0.253 5.569" Properties=species:S:1:pos:R:3 pbc="T T T"
Al 0.000 0.934 2.840
Al 0.000 0.970 5.507
Mg 2.386 2.477 4.167
Cd 2.386 0.826 1.389
```

Properties
* space-group type: P2/m
* ΔE_f: 77.5 meV/atom
* magnetic moment: 0.000 μB per formula unit
* raw total energy: -9.7 eV for the cell shown

=====

(5)
Tl2OsBr after structural relaxation. Source: Alexandria via LeMat-Bulk, functional PBE.

```
4
Lattice="-0.804 1.023 3.067 -2.246 -0.964 -2.264 0.736 -10.021 3.536" Properties=species:S:1:pos:R:3 pbc="T T T"
Tl -1.347 -2.381 1.252
Os -0.980 -7.378 3.015
Br 0.411 -5.594 1.974
Tl 0.708 -9.641 3.402
```

Properties
* formation energy without anion corrections: 0.73 eV/atom
* space-group type: Cmm2
* magnetic moment: 0.000 μB per formula unit
* raw total energy: -14.7 eV for the cell shown

=====

(6)
RbPuCl5 after structural relaxation. Source: Alexandria via LeMat-Bulk, functional PBE.

```
14
Lattice="7.385 0.330 1.810 1.988 7.120 1.810 0.989 0.786 10.623" Properties=species:S:1:pos:R:3 pbc="T T T"
Cl 2.541 6.933 4.465
Cl 2.804 4.680 1.604
Cl 4.676 6.168 7.327
Cl 7.558 3.556 12.638
Pu 0.495 0.393 5.311
Rb 4.744 4.161 4.465
Rb 5.619 4.076 9.777
Pu 0.000 0.000 0.000
Cl 5.687 2.069 6.915
Cl 1.795 2.529 4.876
Cl 6.999 6.666 4.054
Cl 7.822 1.304 9.777
Cl 8.568 5.707 9.366
Cl 3.363 1.571 10.188
```

Properties
* formation energy without anion corrections: -1.77 eV/atom
* space-group type: C2/c
* magnetic moment: 4.000 μB per formula unit
* raw total energy: -73.9 eV for the cell shown

=====

(7)
Co3Au after structural relaxation. Source: Alexandria via LeMat-Bulk, functional PBE.

```
16
Lattice="4.604 0.000 0.000 0.000 8.503 0.000 0.000 0.000 5.248" Properties=species:S:1:pos:R:3 pbc="T T T"
Co 4.268 2.126 4.590
Co 3.537 4.319 0.737
Co 3.369 0.068 3.360
Co 3.537 8.435 0.737
Co 0.336 6.377 0.658
Au 1.985 2.126 0.579
Co 1.067 0.068 4.511
Au 2.619 6.377 4.669
Au 0.317 6.377 3.203
Co 3.369 4.184 3.360
Co 2.638 6.377 1.966
Au 4.286 2.126 2.045
Co 1.966 2.126 3.282
Co 1.235 4.319 1.887
Co 1.067 4.184 4.511
Co 1.235 8.435 1.887
```

Properties
* space-group type: Pnma
* ΔE_f: 209.0 meV/atom
* magnetic moment: 5.195 μB per formula unit
* raw total energy: -95.0 eV for the cell shown

=====

(8)
SiW2 after structural relaxation. Source: Alexandria via LeMat-Bulk, functional PBE.

```
6
Lattice="0.000 3.703 3.703 3.703 0.000 3.703 3.703 3.703 0.000" Properties=species:S:1:pos:R:3 pbc="T T T"
Si 5.555 5.555 5.555
Si 3.703 3.703 3.703
W 0.926 2.777 2.777
W 0.926 0.926 0.926
W 2.777 2.777 0.926
W 2.777 0.926 2.777
```

Properties
* formation energy without anion corrections: 0.80 eV/atom
* space-group type: Fd-3m
* magnetic moment: 0.000 μB per formula unit
* raw total energy: -57.9 eV for the cell shown

=====

(9)
CaIrAu2 after structural relaxation. Source: Alexandria via LeMat-Bulk, functional PBE.

```
4
Lattice="-4.684 -0.354 0.447 0.351 -2.671 1.570 0.362 1.726 5.161" Properties=species:S:1:pos:R:3 pbc="T T T"
Ca -2.164 -0.413 1.906
Ir -1.808 -0.886 5.271
Au 0.408 -0.797 3.646
Au 0.662 -0.621 6.449
```

Properties
* space-group type: P2/m
* ΔE_f: -42.4 meV/atom
* magnetic moment: 0.000 μB per formula unit
* raw total energy: -17.6 eV for the cell shown

=====

(10)
Mg2BiO4 after structural relaxation. Source: Alexandria via LeMat-Bulk, functional PBE.

```
7
Lattice="3.504 0.000 -0.860 -0.621 4.672 -2.530 -0.192 -0.773 6.789" Properties=species:S:1:pos:R:3 pbc="T T T"
Mg 1.716 3.408 -0.579
Bi 0.000 0.000 0.000
O 1.710 1.399 -0.600
Mg 0.976 0.490 3.977
O 2.784 -0.432 3.776
O 0.981 2.499 3.999
O -0.093 4.330 -0.377
```

Properties
* formation energy without anion corrections: -1.92 eV/atom
* space-group type: C2/m
* magnetic moment: 0.000 μB per formula unit
* raw total energy: -40.4 eV for the cell shown

=====

(11)
La4Nd3Dy after structural relaxation. Source: Alexandria via LeMat-Bulk, functional PBE.

```
8
Lattice="-0.556 3.315 -1.101 -5.996 -1.453 -1.348 -2.422 1.903 12.637" Properties=species:S:1:pos:R:3 pbc="T T T"
La -2.929 2.871 4.440
Nd -2.998 -0.726 -0.674
Nd -5.227 -0.056 2.468
La -1.957 0.412 2.229
La -6.045 0.895 5.747
Dy -0.278 1.658 -0.550
La -7.017 3.354 7.958
Nd -3.747 3.822 7.719
```

Properties
* space-group type: C2/m
* ΔE_f: 195.1 meV/atom
* magnetic moment: 0.000 μB per formula unit
* raw total energy: -37.1 eV for the cell shown

=====

(12)
Tb2YHo2 after structural relaxation. Source: Alexandria via LeMat-Bulk, functional PBE.

```
10
Lattice="-7.220 3.440 4.701 3.529 -3.372 7.888 1.857 3.176 0.527" Properties=species:S:1:pos:R:3 pbc="T T T"
Tb -1.458 -0.779 9.830
Ho 1.475 -0.076 8.361
Tb -4.982 1.745 7.031
Ho -3.309 3.320 4.755
Y -1.845 0.034 6.295
Ho -2.699 2.184 9.451
Tb -2.232 0.847 2.759
Y 0.000 0.000 0.000
Tb 1.292 -1.677 5.558
Ho 0.865 1.061 3.666
```

Properties
* space-group type: P4/mbm
* ΔE_f: 79.0 meV/atom
* magnetic moment: 0.000 μB per formula unit
* raw total energy: -49.0 eV for the cell shown

=====

(13)
ZrTe8 after structural relaxation. Source: Alexandria via LeMat-Bulk, functional PBE.

```
9
Lattice="-6.416 6.416 2.136 6.416 -6.416 2.136 6.416 6.416 -2.136" Properties=species:S:1:pos:R:3 pbc="T T T"
Te 0.000 9.803 0.000
Te 4.509 4.509 0.000
Te 1.906 -1.906 2.136
Te 3.028 0.000 0.000
Te 1.906 1.906 2.136
Te -1.906 1.906 2.136
Zr 0.000 0.000 0.000
Te 9.803 0.000 0.000
Te 0.000 3.028 0.000
```

Properties
* formation energy without anion corrections: -0.09 eV/atom
* space-group type: I4/mmm
* magnetic moment: 0.000 μB per formula unit
* raw total energy: -34.5 eV for the cell shown

=====

(14)
SrCrAg after structural relaxation. Source: Alexandria via LeMat-Bulk, functional PBE.

```
3
Lattice="-1.006 -5.571 -2.429 0.134 -6.054 1.128 -3.479 -1.067 0.969" Properties=species:S:1:pos:R:3 pbc="T T T"
Sr -1.747 -8.082 -0.539
Cr -2.518 -4.958 0.132
Ag -0.958 -11.277 -1.227
```

Properties
* space-group type: I4mm
* ΔE_f: 395.4 meV/atom
* magnetic moment: 4.787 μB per formula unit
* raw total energy: -13.0 eV for the cell shown

=====

(15)
Li2LaIn after structural relaxation. Source: Alexandria via LeMat-Bulk, functional PBE.

```
8
Lattice="4.714 0.000 0.000 0.000 4.714 0.000 2.357 2.357 10.061" Properties=species:S:1:pos:R:3 pbc="T T T"
Li 1.805 3.535 2.515
Li 3.535 4.162 7.546
In 2.357 4.714 5.030
In 2.357 2.357 0.000
Li 2.909 1.178 2.515
La 0.000 0.000 0.000
Li 5.892 5.266 7.546
La 4.714 2.357 5.030
```

Properties
* space-group type: I-42d
* ΔE_f: -8.6 meV/atom
* magnetic moment: 0.440 μB per formula unit
* raw total energy: -23.1 eV for the cell shown

=====

(16)
YAlSe2 after structural relaxation. Source: Alexandria via LeMat-Bulk, functional PBE.

```
4
Lattice="-4.662 -2.890 -2.257 -1.637 -3.079 -4.798 1.259 -3.398 1.752" Properties=species:S:1:pos:R:3 pbc="T T T"
Se -3.963 -6.625 -4.226
Se -0.063 -0.633 -0.028
Y -2.095 -4.855 -2.134
Al -1.439 -1.938 -1.569
```

Properties
* formation energy without anion corrections: -1.25 eV/atom
* space-group type: Amm2
* magnetic moment: 0.000 μB per formula unit
* raw total energy: -22.2 eV for the cell shown

=====

(17)
CaPmSc2Pt2 after structural relaxation. Source: Alexandria via LeMat-Bulk, functional PBE.

```
6
Lattice="4.822 0.000 0.000 -2.411 4.176 0.000 0.000 0.000 6.710" Properties=species:S:1:pos:R:3 pbc="T T T"
Pm 0.000 0.000 0.000
Ca 0.000 0.000 3.355
Pt 2.411 1.392 4.994
Pt 0.000 2.784 1.716
Sc 2.411 1.392 2.038
Sc 0.000 2.784 4.671
```

Properties
* space-group type: P-3m1
* ΔE_f: -727.2 meV/atom
* magnetic moment: 0.000 μB per formula unit
* raw total energy: -35.9 eV for the cell shown

=====

(18)
SrNbSe2 after structural relaxation. Source: Alexandria via LeMat-Bulk, functional PBE.

```
8
Lattice="-4.443 -1.523 3.990 0.255 -5.841 -1.946 2.624 -5.052 5.753" Properties=species:S:1:pos:R:3 pbc="T T T"
Sr 0.392 -7.288 2.415
Se -1.680 -10.621 5.974
Nb -1.956 -5.128 5.382
Se 0.381 -6.163 5.211
Se -2.384 -3.046 3.954
Sr -2.094 -3.682 1.022
Se 0.555 -5.003 0.456
Nb 0.000 0.000 0.000
```

Properties
* formation energy without anion corrections: -0.74 eV/atom
* space-group type: I-42d
* magnetic moment: 2.042 μB per formula unit
* raw total energy: -43.4 eV for the cell shown

=====

(19)
K2Na3Pb2 after structural relaxation. Source: Alexandria via LeMat-Bulk, functional PBE.

```
7
Lattice="-4.309 -1.882 -2.995 2.001 -3.485 -5.878 -0.374 -8.385 0.619" Properties=species:S:1:pos:R:3 pbc="T T T"
Na -2.639 -6.441 -2.533
Na -2.155 -0.941 -1.497
K 0.130 -3.722 -3.037
K -2.812 -10.030 -5.217
Pb -3.863 -3.405 -2.680
Na -0.044 -7.311 -5.720
Pb 1.180 -10.347 -5.573
```

Properties
* space-group type: C2/m
* ΔE_f: -117.4 meV/atom
* magnetic moment: 0.006 μB per formula unit
* raw total energy: -14.4 eV for the cell shown

=====

(20)
Ni2SeBr after structural relaxation. Source: Alexandria via LeMat-Bulk, functional PBE.

```
4
Lattice="-0.110 -2.491 3.731 4.315 0.959 0.774 -0.844 2.482 1.632" Properties=species:S:1:pos:R:3 pbc="T T T"
Ni 0.000 0.000 0.000
Se -0.477 -0.005 2.681
Br 1.735 1.720 1.203
Ni 2.102 -0.766 2.253
```

Properties
* formation energy without anion corrections: 0.43 eV/atom
* space-group type: Cmmm
* magnetic moment: 0.001 μB per formula unit
* raw total energy: -15.0 eV for the cell shown

=====

(21)
Ho2BiO4F after structural relaxation. Source: Alexandria via LeMat-Bulk, functional PBE.

```
8
Lattice="3.381 0.000 0.000 1.690 5.438 0.883 1.690 2.132 6.414" Properties=species:S:1:pos:R:3 pbc="T T T"
O 3.381 0.893 2.166
Bi 0.000 0.000 0.000
Ho 1.690 2.331 2.215
F 3.381 3.785 3.649
O 3.381 3.701 1.012
O 3.381 3.869 6.285
O 3.381 6.678 5.131
Ho 5.071 5.239 5.083
```

Properties
* formation energy without anion corrections: -2.81 eV/atom
* space-group type: C2/m
* magnetic moment: 0.000 μB per formula unit
* raw total energy: -57.2 eV for the cell shown

=====

(22)
Tl2GaSb2Pb after structural relaxation. Source: Alexandria via LeMat-Bulk, functional PBE.

```
12
Lattice="-3.102 0.267 3.287 5.795 -1.053 5.554 1.352 9.917 0.470" Properties=species:S:1:pos:R:3 pbc="T T T"
Tl 6.081 7.439 5.133
Sb 2.570 7.846 1.787
Tl 2.805 8.584 5.067
Sb 0.589 3.796 3.365
Tl 2.262 1.208 2.036
Ga 2.606 2.741 5.355
Ga 0.166 6.622 2.736
Sb 4.607 1.013 4.266
Sb 3.761 5.280 6.237
Pb 3.570 5.116 2.953
Pb 6.285 3.256 5.667
Tl -1.199 0.991 1.906
```

Properties
* formation energy without anion corrections: -0.01 eV/atom
* space-group type: Pmc2_1
* magnetic moment: 0.000 μB per formula unit
* raw total energy: -39.6 eV for the cell shown

=====

(23)
SrLaSbTe2 after structural relaxation. Source: Alexandria via LeMat-Bulk, functional PBE.

```
5
Lattice="-0.490 4.889 -3.320 1.484 -3.122 -4.818 -5.596 -1.202 -0.945" Properties=species:S:1:pos:R:3 pbc="T T T"
Sr 0.000 0.000 0.000
Sb -2.798 -0.601 -0.472
La -2.301 0.282 -4.541
Te -0.245 2.445 -1.660
Te 0.742 -1.561 -2.409
```

Properties
* formation energy without anion corrections: -0.25 eV/atom
* space-group type: P4/mmm
* magnetic moment: 0.016 μB per formula unit
* raw total energy: -18.3 eV for the cell shown

=====

(24)
CsCuO2 after structural relaxation. Source: Alexandria via LeMat-Bulk, functional PBE.

```
8
Lattice="6.094 0.000 0.000 0.000 6.094 0.000 3.047 3.047 3.984" Properties=species:S:1:pos:R:3 pbc="T T T"
Cu 3.047 3.047 0.000
Cs 0.000 0.000 0.000
Cs 6.094 3.047 1.992
O 3.451 1.523 0.996
O 7.617 6.498 2.988
Cu 3.047 6.094 1.992
O 2.642 4.570 0.996
O 4.570 5.689 2.988
```

Properties
* formation energy without anion corrections: -0.77 eV/atom
* space-group type: I-42d
* magnetic moment: 0.000 μB per formula unit
* raw total energy: -35.9 eV for the cell shown

=====

(25)
Si2Os after structural relaxation. Source: Alexandria via LeMat-Bulk, functional PBE.

```
6
Lattice="3.661 -4.521 0.362 4.169 -3.368 -2.291 5.288 1.319 1.586" Properties=species:S:1:pos:R:3 pbc="T T T"
Si 4.137 0.656 1.077
Si 6.018 -1.713 0.408
Si 7.099 -4.857 -0.751
Si 8.980 -7.226 -1.421
Os 3.119 -2.756 -0.600
Os 9.998 -3.814 0.257
```

Properties
* formation energy without anion corrections: -0.07 eV/atom
* space-group type: C2/m
* magnetic moment: 0.000 μB per formula unit
* raw total energy: -44.6 eV for the cell shown